Entry 1:
Crystalline TbPr2Sb3 at its relaxed geometry. Source: OQMD, functional GGA-PBE.

Calculated values
Size of the total moment   0.00 μB per formula unit
Final energy   -33.60 eV per cell

Cell lengths 4.4996, 4.4996, 11.0465 Å; angles 90.00, 90.00, 120.00 degrees
With the nearest neighbours (Å) after each atom.
Positions (direct):
Sb: 0.0000 0.0000 0.0000  6 Pr 3.21
Tb: 0.0000 0.0000 0.5000  6 Sb 3.13
Pr: 0.6667 0.3333 0.1710  6 Sb 3.21
Pr: 0.3333 0.6667 0.8290  6 Sb 3.21
Sb: 0.3333 0.6667 0.3415  3 Tb 3.13, 3 Pr 3.21
Sb: 0.6667 0.3333 0.6585  3 Tb 3.13, 3 Pr 3.21

Entry 2:
Crystalline TbPrSb at its relaxed geometry. Source: OQMD, functional GGA-PBE.

Calculated values
Size of the total moment   0.03 μB per formula unit
Final energy   -15.34 eV per cell

Cell lengths 5.1893, 5.1893, 5.1893 Å; angles 60.00, 60.00, 60.00 degrees
With the nearest neighbours (Å) after each atom.
Positions (direct):
Sb: 0.0000 0.0000 0.0000  4 Pr 3.18, 4 Tb 3.18
Pr: 0.2500 0.2500 0.2500  4 Sb 3.18
Tb: 0.7500 0.7500 0.7500  4 Sb 3.18

Entry 3:
Crystalline PrTcSb at its relaxed geometry. Source: OQMD, functional GGA-PBE.

Calculated values
Energy above the most stable polymorph in this dataset   0.650 eV per atom
Size of the total moment   2.13 μB per formula unit

Cell lengths 4.9996, 4.9996, 4.9996 Å; angles 60.00, 60.00, 60.00 degrees
With the nearest neighbours (Å) after each atom.
Positions (direct):
Tc: 0.7500 0.7500 0.7500  4 Pr 3.06
Pr: 0.0000 0.0000 0.0000  4 Tc 3.06, 4 Sb 3.06
Sb: 0.2500 0.2500 0.2500  4 Pr 3.06